MgTiBN2 | GGA-PBE | relaxed

Values from the calculation:
- Formation energy without anion corrections: 1.1530 eV/atom
- Volume: 89.6 Å³/cell
- DOS(E_F): 3.23 states/eV per cell
- VASP energy: -5.411 eV/atom

a = 3.782 Å, b = 3.782 Å, c = 6.263 Å
α = 90.00°, β = 90.00°, γ = 90.00°
Space group P4/mmm (No. 123)
Inequivalent atoms, fractional coordinates:
Mg: 0.000 0.000 0.000 [1 per cell]
Ti: 0.000 0.000 0.500 [1 per cell]
B: 0.500 0.500 0.000 [1 per cell]
N: 0.000 0.500 0.500 [2 per cell]


Na3MgB | GGA-PBE | relaxed

Values from the calculation:
- Energy above the lowest structure with this stoichiometry: 554 meV per atom
- Volume: 190.8 Å³/cell
- E_form: 1.32 eV per atom
- DOS(E_F): 3.87 states/eV per cell
- VASP energy: -1.122 eV/atom

a = 5.757 Å, b = 5.757 Å, c = 5.757 Å
α = 90.00°, β = 90.00°, γ = 90.00°
Space group Pm-3m (No. 221)
Inequivalent atoms, fractional coordinates:
Na: 0.000 0.000 0.500 [3 per cell]
Mg: 0.000 0.000 0.000 [1 per cell]
B: 0.500 0.500 0.500 [1 per cell]


NaMg14B | GGA-PBE | relaxed

Values from the calculation:
- Energy above the lowest structure with this stoichiometry: 0 meV per atom
- Volume: 711.5 Å³/cell
- E_form: 0.19 eV per atom
- DOS(E_F): 11.47 states/eV per cell
- VASP energy: -1.710 eV/atom

a = 9.949 Å, b = 6.236 Å, c = 11.468 Å
α = 90.00°, β = 90.00°, γ = 90.00°
Space group Amm2 (No. 38)
Inequivalent atoms, fractional coordinates:
Na: 0.000 0.000 0.000 [2 per cell]
Mg: 0.000 0.248 0.756 [4 per cell]
Mg: 0.231 0.235 0.587 [8 per cell]
Mg: 0.242 0.000 0.342 [4 per cell]
Mg: 0.258 0.000 0.841 [4 per cell]
Mg: 0.500 0.000 0.009 [2 per cell]
Mg: 0.500 0.000 0.500 [2 per cell]
Mg: 0.500 0.249 0.247 [4 per cell]
B: 0.000 0.000 0.593 [2 per cell]


Na3MgB | GGA-PBE | relaxed

Values from the calculation:
- Energy above the lowest structure with this stoichiometry: 0 meV per atom
- Volume: 141.0 Å³/cell
- E_form: 0.77 eV per atom
- DOS(E_F): 3.06 states/eV per cell
- VASP energy: -1.675 eV/atom

a = 5.205 Å, b = 5.205 Å, c = 5.205 Å
α = 90.00°, β = 90.00°, γ = 90.00°
Space group Pm-3m (No. 221)
Inequivalent atoms, fractional coordinates:
Na: 0.000 0.000 0.500 [3 per cell]
Mg: 0.500 0.500 0.500 [1 per cell]
B: 0.000 0.000 0.000 [1 per cell]


NaMg14B | GGA-PBE | relaxed

Values from the calculation:
- Energy above the lowest structure with this stoichiometry: 17 meV per atom
- Volume: 349.2 Å³/cell
- E_form: 0.20 eV per atom
- DOS(E_F): 4.71 states/eV per cell
- VASP energy: -1.692 eV/atom

a = 6.3471 Å, b = 6.3471 Å, c = 10.0085 Å
α = 90.00°, β = 90.00°, γ = 120.00°
Space group P-6m2 (No. 187)
Inequivalent atoms, fractional coordinates:
Na: 0.0000 0.0000 0.0000 [1 per cell]
Mg: 0.0074 0.5037 0.0000 [3 per cell]
Mg: 0.1604 0.3209 0.2721 [6 per cell]
Mg: 0.5056 0.0112 0.5000 [3 per cell]
Mg: 0.6667 0.3333 0.2458 [2 per cell]
B: 0.0000 0.0000 0.5000 [1 per cell]


NaMg2B9 | GGA-PBE | relaxed

Values from the calculation:
- Volume: 415.7 Å³/cell
- E_form: 0.19 eV per atom
- DOS(E_F): 11.96 states/eV per cell
- VASP energy: -5.189 eV/atom

a = 4.6045 Å, b = 4.6045 Å, c = 22.6425 Å
α = 90.00°, β = 90.00°, γ = 120.00°
Space group R-3m (No. 166, hexagonal axes)
Inequivalent atoms, fractional coordinates:
Na: 0.0000 0.0000 0.0000 [3 per cell]
Mg: 0.0000 0.0000 0.1304 [6 per cell]
B: 0.0000 0.0000 0.2391 [6 per cell]
B: 0.0000 0.0000 0.5000 [3 per cell]
B: 0.0882 0.5441 0.0976 [18 per cell]


NaMg14BO15 | GGA-PBE | relaxed

Values from the calculation:
- Formation energy without anion corrections: -2.3570 eV/atom
- Energy above the lowest structure with this stoichiometry: 49 meV per atom
- Volume: 311.1 Å³/cell
- VASP energy: -5.734 eV/atom

a = 4.287 Å, b = 8.625 Å, c = 8.414 Å
α = 90.00°, β = 90.00°, γ = 90.00°
Space group Pmm2 (No. 25)
Inequivalent atoms, fractional coordinates:
Na: 0.000 0.000 0.000 [1 per cell]
Mg: 0.000 0.000 0.500 [1 per cell]
Mg: 0.000 0.239 0.746 [2 per cell]
Mg: 0.000 0.240 0.255 [2 per cell]
Mg: 0.000 0.500 0.003 [1 per cell]
Mg: 0.500 0.000 0.247 [1 per cell]
Mg: 0.500 0.000 0.753 [1 per cell]
Mg: 0.500 0.247 0.000 [2 per cell]
Mg: 0.500 0.251 0.500 [2 per cell]
Mg: 0.500 0.500 0.265 [1 per cell]
Mg: 0.500 0.500 0.740 [1 per cell]
B: 0.000 0.500 0.515 [1 per cell]
O: 0.000 0.000 0.262 [1 per cell]
O: 0.000 0.000 0.738 [1 per cell]
O: 0.000 0.248 0.500 [2 per cell]
O: 0.000 0.272 0.999 [2 per cell]
O: 0.000 0.500 0.684 [1 per cell]
O: 0.500 0.000 0.001 [1 per cell]
O: 0.500 0.000 0.499 [1 per cell]
O: 0.500 0.255 0.750 [2 per cell]
O: 0.500 0.257 0.250 [2 per cell]
O: 0.500 0.500 0.501 [1 per cell]
O: 0.500 0.500 0.996 [1 per cell]


NaMg14BO15 | GGA-PBE | relaxed

Values from the calculation:
- Formation energy without anion corrections: -2.4029 eV/atom
- Energy above the lowest structure with this stoichiometry: 3 meV per atom
- Volume: 310.0 Å³/cell
- DOS(E_F): 0.00 states/eV per cell
- VASP energy: -5.780 eV/atom

a = 4.320 Å, b = 8.260 Å, c = 8.688 Å
α = 90.00°, β = 90.00°, γ = 90.00°
Space group Pmm2 (No. 25)
Inequivalent atoms, fractional coordinates:
Na: 0.000 0.000 0.000 [1 per cell]
Mg: 0.000 0.000 0.498 [1 per cell]
Mg: 0.000 0.248 0.746 [2 per cell]
Mg: 0.000 0.258 0.252 [2 per cell]
Mg: 0.000 0.500 0.495 [1 per cell]
Mg: 0.500 0.000 0.244 [1 per cell]
Mg: 0.500 0.000 0.752 [1 per cell]
Mg: 0.500 0.250 0.499 [2 per cell]
Mg: 0.500 0.259 0.996 [2 per cell]
Mg: 0.500 0.500 0.235 [1 per cell]
Mg: 0.500 0.500 0.753 [1 per cell]
B: 0.000 0.500 0.934 [1 per cell]
O: 0.000 0.000 0.258 [1 per cell]
O: 0.000 0.000 0.740 [1 per cell]
O: 0.000 0.253 0.505 [2 per cell]
O: 0.000 0.328 0.987 [2 per cell]
O: 0.000 0.500 0.269 [1 per cell]
O: 0.500 0.000 0.498 [1 per cell]
O: 0.500 0.000 0.997 [1 per cell]
O: 0.500 0.251 0.750 [2 per cell]
O: 0.500 0.252 0.243 [2 per cell]
O: 0.500 0.500 0.511 [1 per cell]
O: 0.500 0.500 0.987 [1 per cell]